Crystalline UMn3I2O6 at its relaxed geometry. Source: the Alexandria database, functional PBE+U.

Calculated values
The mass density comes out at 5.80 g cm⁻³. As for the electronic total energy: -7.20 eV per atom. The calculation puts the magnetic moment at 13.0 Bohr magnetons per cell. For the calculated volume, the calculation gives 215.60 Å³/cell. Its density of states at the Fermi level is 0.155 states/eV/f.u.

Cell lengths 6.333, 6.333, 6.389 Å; angles 105.95, 105.95, 62.70 degrees
Positions (direct):
U: 0.000 0.000 0.000
Mn: 0.000 0.500 0.000
Mn: 0.500 0.000 0.000
Mn: 0.500 0.500 0.500
I: 0.284 0.284 0.641
I: 0.716 0.716 0.359
O: 0.164 0.711 0.167
O: 0.220 0.220 0.138
O: 0.289 0.836 0.833
O: 0.711 0.164 0.167
O: 0.780 0.780 0.862
O: 0.836 0.289 0.833